Density functional theory data (GGA-PBE) for Pr8C3I3N after structural relaxation.

Calculated values
Its symmetry is C2/m (12). As for the total energy: -5.930 eV/atom.

a b c (Å): 7.7031 7.7031 9.0408
angles (deg): 115.27 115.27 59.92
Last column: nearest neighbours and their distance in Å.
Positions (direct):
Pr1 0.2240 0.2240 0.6742  1 N 2.60, 2 C 2.62
Pr2 0.2242 0.7263 0.6741  1 N 2.60, 2 C 2.61-2.62
Pr3 0.2737 0.7758 0.3259  1 N 2.60, 2 C 2.61-2.62
Pr4 0.2751 0.2751 0.3257  3 C 2.61
Pr5 0.7249 0.7249 0.6743  3 C 2.61
Pr6 0.7263 0.2242 0.6741  1 N 2.60, 2 C 2.61-2.62
Pr7 0.7758 0.2737 0.3259  1 N 2.60, 2 C 2.61-2.62
Pr8 0.7760 0.7760 0.3258  1 N 2.60, 2 C 2.62
C1 0.0000 0.5000 0.5000  6 Pr 2.61-2.62
C2 0.5000 0.0000 0.5000  6 Pr 2.61-2.62
C3 0.5000 0.5000 0.5000  6 Pr 2.61
I1 0.0000 0.0000 0.0000  6 Pr 3.39
I2 0.0000 0.5000 0.0000  6 Pr 3.39
I3 0.5000 0.0000 0.0000  6 Pr 3.39
N1 0.0000 0.0000 0.5000  6 Pr 2.60

***

Density functional theory data (GGA-PBE) for Ho6Sb3SeS2 after structural relaxation.

Calculated values
Its symmetry is C2/m (12). As for the total energy: -5.769 eV/atom.

a b c (Å): 7.1996 7.1996 7.2118
angles (deg): 99.61 99.61 119.90
Last column: nearest neighbours and their distance in Å.
Positions (direct):
Ho1 0.0815 0.4234 0.7701  2 S 2.83-2.84, 1 Se 2.92, 3 Sb 3.01-3.05
Ho2 0.2331 0.2331 0.2249  2 S 2.83, 1 Se 2.90, 3 Sb 3.00-3.04
Ho3 0.4234 0.0815 0.7701  2 S 2.83-2.84, 1 Se 2.92, 3 Sb 3.01-3.05
Ho4 0.5766 0.9185 0.2299  2 S 2.83-2.84, 1 Se 2.92, 3 Sb 3.01-3.05
Ho5 0.7669 0.7669 0.7751  2 S 2.83, 1 Se 2.90, 3 Sb 3.00-3.04
Ho6 0.9185 0.5766 0.2299  2 S 2.83-2.84, 1 Se 2.92, 3 Sb 3.01-3.05
Sb1 0.0000 0.0000 0.5000  6 Ho 3.00-3.05
Sb2 0.3371 0.6629 0.5000  6 Ho 3.01-3.05
Sb3 0.6629 0.3371 0.5000  6 Ho 3.01-3.05
Se1 0.5000 0.5000 0.0000  6 Ho 2.90-2.92
S1 0.1675 0.8325 0.0000  6 Ho 2.83-2.84
S2 0.8325 0.1675 0.0000  6 Ho 2.83-2.84

***

Density functional theory data (GGA-PBE) for UGe2Pt after structural relaxation.

Calculated values
Its symmetry is P4/mmm (123). For the formation energy, the calculation gives -0.384 eV per atom.

a b c (Å): 4.2507 4.2507 4.1287
angles (deg): 90.00 90.00 90.00
Last column: nearest neighbours and their distance in Å.
Positions (direct):
U1 0.0000 0.0000 0.0000  8 Ge 2.96, 4 Pt 3.01
Ge1 0.0000 0.5000 0.5000  4 U 2.96, 4 Pt 2.96, 4 Ge 3.01
Ge2 0.5000 0.0000 0.5000  4 U 2.96, 4 Pt 2.96, 4 Ge 3.01
Pt1 0.5000 0.5000 0.0000  8 Ge 2.96, 4 U 3.01

***

Density functional theory data (GGA-PBE) for CeSb2Pd7Pb2 after structural relaxation.

Calculated values
Its symmetry is C2/m (12). As for the total energy: -5.254 eV/atom.

a b c (Å): 4.1261 4.1261 15.2708
angles (deg): 94.00 94.00 89.75
Last column: nearest neighbours and their distance in Å.
Positions (direct):
Ce1 0.0000 0.0000 0.0000  12 Pd 2.91-2.94
Sb1 0.4338 0.4338 0.7504  5 Pd 2.65-2.68
Sb2 0.5662 0.5662 0.2496  5 Pd 2.65-2.68
Pd1 0.0370 0.5367 0.1376  2 Sb 2.67-2.68, 6 Pd 2.91-2.94, 2 Ce 2.93-2.94
Pd2 0.3835 0.3835 0.5759  1 Sb 2.65, 1 Pd 2.80, 4 Pb 2.88-2.93
Pd3 0.4633 0.9630 0.8624  2 Sb 2.67-2.68, 6 Pd 2.91-2.94, 2 Ce 2.93-2.94
Pd4 0.5000 0.5000 0.0000  4 Ce 2.91-2.92, 8 Pd 2.93-2.94
Pd5 0.5367 0.0370 0.1376  2 Sb 2.67-2.68, 6 Pd 2.91-2.94, 2 Ce 2.93-2.94
Pd6 0.6165 0.6165 0.4241  1 Sb 2.65, 1 Pd 2.80, 4 Pb 2.88-2.93
Pd7 0.9630 0.4633 0.8624  2 Sb 2.67-2.68, 6 Pd 2.91-2.94, 2 Ce 2.93-2.94
Pb1 0.1214 0.1214 0.4022  5 Pd 2.88-3.00
Pb2 0.8786 0.8786 0.5978  5 Pd 2.88-3.00

***

Density functional theory data (GGA-PBE) for Tb7SmHo5 after structural relaxation.

Calculated values
Its symmetry is Imm2 (44). For the formation energy, the calculation gives 0.250 eV per atom. The energy above the lowest structure with this stoichiometry comes out at 2 meV per atom.

a b c (Å): 8.6901 8.6901 8.6901
angles (deg): 134.92 100.13 96.78
Last column: nearest neighbours and their distance in Å.
Positions (direct):
Tb1 0.0000 0.0000 0.0000  6 Ho 3.33-3.50, 1 Sm 3.52, 1 Tb 3.52
Tb2 0.0762 0.7476 0.3286  5 Ho 3.45-3.46, 4 Tb 3.45-3.82, 1 Sm 3.72
Tb3 0.3054 0.3054 0.0000  7 Tb 3.52-3.90, 4 Ho 3.73
Tb4 0.4189 0.7476 0.6714  5 Ho 3.45-3.46, 4 Tb 3.45-3.82, 1 Sm 3.72
Tb5 0.4965 0.9965 0.5000  4 Ho 3.11, 4 Tb 3.45-3.48
Tb6 0.5781 0.2490 0.3291  5 Ho 3.46, 5 Tb 3.48-3.81
Tb7 0.9199 0.2490 0.6709  5 Ho 3.46, 5 Tb 3.48-3.81
Sm1 0.6950 0.6950 0.0000  7 Tb 3.52-3.89, 4 Ho 3.76
Ho1 0.2688 0.2641 0.5366  5 Tb 3.11-3.46, 2 Ho 3.12-3.40
Ho2 0.2688 0.7322 0.0047  5 Tb 3.11-3.46, 2 Ho 3.12-3.40
Ho3 0.7275 0.2641 0.9953  5 Tb 3.11-3.46, 2 Ho 3.12-3.40
Ho4 0.7275 0.7322 0.4634  5 Tb 3.11-3.46, 2 Ho 3.12-3.40
Ho5 0.9989 0.4989 0.5000  6 Tb 3.33-3.46, 4 Ho 3.40

***

Density functional theory data (GGA-PBE) for Sr2HfI after structural relaxation.

Calculated values
Its symmetry is I-42d (122). The energy above the lowest structure with this stoichiometry comes out at 27 meV per atom.

a b c (Å): 7.5091 7.5091 7.5091
angles (deg): 104.14 104.14 120.75
Last column: nearest neighbours and their distance in Å.
Positions (direct):
Sr1 0.1021 0.1250 0.4771  2 I 3.25, 2 Hf 3.54
Sr2 0.3750 0.8979 0.0229  2 I 3.25, 2 Hf 3.54
Sr3 0.6479 0.6250 0.5229  2 I 3.25, 2 Hf 3.54
Sr4 0.8750 0.3521 0.9771  2 I 3.25, 2 Hf 3.54
Hf1 0.2500 0.7500 0.5000  4 Sr 3.54, 2 I 3.71
Hf2 0.5000 0.5000 0.0000  4 Sr 3.54, 2 I 3.71
I1 0.0000 0.0000 0.0000  4 Sr 3.25
I2 0.7500 0.2500 0.5000  4 Sr 3.25

***

Density functional theory data (GGA-PBE) for CsHgTe4As2 after structural relaxation.

Calculated values
Its symmetry is Immm (71). As for the total energy: -3.001 eV/atom.

a b c (Å): 8.0867 8.0867 8.0867
angles (deg): 137.41 103.71 91.53
Last column: nearest neighbours and their distance in Å.
Positions (direct):
Cs1 0.0000 0.0000 0.0000  12 Te 4.23-4.42
Hg1 0.5000 0.5000 0.0000  4 As 3.32
Te1 0.0167 0.7265 0.2902  1 As 2.60
Te2 0.4363 0.7265 0.7098  1 As 2.60
Te3 0.5637 0.2735 0.2902  1 As 2.60
Te4 0.9833 0.2735 0.7098  1 As 2.60
As1 0.3634 0.8634 0.5000  2 Te 2.60
As2 0.6366 0.1366 0.5000  2 Te 2.60

***

Density functional theory data (GGA-PBE) for EuMgCo4 after structural relaxation.

Calculated values
Its symmetry is F-43m (216). For the formation energy, the calculation gives 1.190 eV per atom.

a b c (Å): 6.1409 6.1409 6.1409
angles (deg): 60.00 60.00 60.00
Last column: nearest neighbours and their distance in Å.
Positions (direct):
Eu1 0.0000 0.0000 0.0000  12 Co 3.72, 4 Mg 3.76
Mg1 0.2500 0.2500 0.2500  4 Co 2.39
Co1 0.4089 0.4089 0.4089  3 Co 2.24, 1 Mg 2.39
Co2 0.4089 0.4089 0.7734  3 Co 2.24, 1 Mg 2.39
Co3 0.4089 0.7734 0.4089  3 Co 2.24, 1 Mg 2.39
Co4 0.7734 0.4089 0.4089  3 Co 2.24, 1 Mg 2.39

***

Density functional theory data (GGA-PBE) for ThZrCS after structural relaxation.

Calculated values
Its symmetry is R3m (160). As for the total energy: -8.506 eV/atom.

a b c (Å): 6.9634 6.9634 6.9634
angles (deg): 29.75 29.75 29.75
Last column: nearest neighbours and their distance in Å.
Positions (direct):
Th1 0.0000 0.0000 0.0000  3 C 2.60
Zr1 0.8044 0.8044 0.8044  3 C 2.37
C1 0.4126 0.4126 0.4126  3 Zr 2.37, 3 Th 2.60
S1 0.2253 0.2253 0.2253  3 Zr 2.71, 3 Th 2.98

***

Density functional theory data (GGA-PBE) for CaGaN3 after structural relaxation.

Calculated values
Its symmetry is Pm-3m (221). As for the total energy: -5.308 eV/atom.

a b c (Å): 3.9371 3.9371 3.9371
angles (deg): 90.00 90.00 90.00
Last column: nearest neighbours and their distance in Å.
Positions (direct):
Ca1 0.0000 0.0000 0.0000  12 N 2.78
Ga1 0.5000 0.5000 0.5000  6 N 1.97
N1 0.0000 0.5000 0.5000  2 Ga 1.97
N2 0.5000 0.0000 0.5000  2 Ga 1.97
N3 0.5000 0.5000 0.0000  2 Ga 1.97

***

Number 1: density of states at the Fermi level 8.17 states/eV per cell, M_tot 0.08 μB/atom. Number 2: density of states at the Fermi level 4.52 states/eV per cell, M_tot 0.00 μB/atom. Number 3: density of states at the Fermi level 4.49 states/eV per cell, M_tot 0.44 μB/atom. Number 4: density of states at the Fermi level 8.39 states/eV per cell, M_tot 0.03 μB/atom. Number 5: density of states at the Fermi level 24.62 states/eV per cell, M_tot 0.00 μB/atom. Number 6: density of states at the Fermi level 11.63 states/eV per cell, M_tot 0.60 μB/atom. Number 7: density of states at the Fermi level 3.62 states/eV per cell, M_tot 0.00 μB/atom. Number 8: density of states at the Fermi level 23.76 states/eV per cell, M_tot 2.26 μB/atom. Number 9: density of states at the Fermi level 1.08 states/eV per cell, M_tot 0.00 μB/atom. Number 10: density of states at the Fermi level 3.43 states/eV per cell, M_tot 0.52 μB/atom.